1.
! PBE EuTlSn, optimized geometry; values from VASP
&SYSTEM
  ibrav = 0, nat = 3, ntyp = 3
/
ATOMIC_SPECIES
Eu 151.96 Eu.upf
Tl 204.38 Tl.upf
Sn 118.71 Sn.upf
ATOMIC_POSITIONS angstrom
Eu -2.582 -1.422 2.625
Tl 0.685 -1.640 2.627
Sn -0.085 0.083 0.168
CELL_PARAMETERS angstrom
-1.672 1.633 3.284
-4.158 -2.855 -0.698
3.849 -1.757 2.834
! excess energy over the best structure of this formula in the dataset = 0.0 meV/atom
! density = 8.72 g/cm3
! space-group type = P3m1, No. 156
! M_tot = 7.11 μB/cell

---

2.
! PBE EuTlSn2, optimized geometry; values from VASP
&SYSTEM
  ibrav = 0, nat = 4, ntyp = 3
/
ATOMIC_SPECIES
Tl 204.38 Tl.upf
Eu 151.96 Eu.upf
Sn 118.71 Sn.upf
ATOMIC_POSITIONS angstrom
Tl 1.262 -3.011 5.924
Eu 0.000 0.000 0.000
Sn 0.632 -1.507 2.960
Sn 1.891 -4.515 8.888
CELL_PARAMETERS angstrom
-0.810 -4.565 3.002
3.972 -1.827 3.375
-0.638 0.370 5.472
! excess energy over the best structure of this formula in the dataset = 186.8 meV/atom
! density = 8.28 g/cm3
! space-group type = Fm-3m, No. 225
! M_tot = 7.06 μB/cell

---

3.
! PBE EuTlSn, optimized geometry; values from VASP
&SYSTEM
  ibrav = 0, nat = 3, ntyp = 3
/
ATOMIC_SPECIES
Sn 118.71 Sn.upf
Tl 204.38 Tl.upf
Eu 151.96 Eu.upf
ATOMIC_POSITIONS angstrom
Sn -0.606 -1.394 1.838
Tl -3.040 -3.690 2.387
Eu -3.885 -5.633 4.948
CELL_PARAMETERS angstrom
-3.277 0.833 -0.448
-0.380 -2.639 -2.127
-0.450 -4.339 8.199
! excess energy over the best structure of this formula in the dataset = 518.1 meV/atom
! density = 7.56 g/cm3
! space-group type = I4mm, No. 107
! M_tot = 7.99 μB/cell

---

4.
! PBE EuTl2Sn, optimized geometry; values from VASP
&SYSTEM
  ibrav = 0, nat = 4, ntyp = 3
/
ATOMIC_SPECIES
Tl 204.38 Tl.upf
Sn 118.71 Sn.upf
Eu 151.96 Eu.upf
ATOMIC_POSITIONS angstrom
Tl 0.000 2.402 0.000
Tl 0.000 0.000 2.402
Sn 2.466 0.000 0.000
Eu 2.466 2.402 2.402
CELL_PARAMETERS angstrom
4.932 0.000 0.000
0.000 4.804 0.000
0.000 0.000 4.804
! excess energy over the best structure of this formula in the dataset = 0.0 meV/atom
! density = 9.91 g/cm3
! space-group type = P4/mmm, No. 123
! M_tot = 7.00 μB/cell

---

5.
! PBE EuTl2Sn, optimized geometry; values from VASP
&SYSTEM
  ibrav = 0, nat = 4, ntyp = 3
/
ATOMIC_SPECIES
Sn 118.71 Sn.upf
Tl 204.38 Tl.upf
Eu 151.96 Eu.upf
ATOMIC_POSITIONS angstrom
Sn 5.526 3.190 2.256
Tl 8.288 4.785 3.384
Tl 2.763 1.595 1.128
Eu 0.000 0.000 0.000
CELL_PARAMETERS angstrom
5.526 0.000 0.000
2.763 4.785 0.000
2.763 1.595 4.512
! excess energy over the best structure of this formula in the dataset = 70.8 meV/atom
! density = 9.46 g/cm3
! space-group type = Fm-3m, No. 225
! M_tot = 7.11 μB/cell

---

6.
! PBE EuTl2Sn, optimized geometry; values from VASP
&SYSTEM
  ibrav = 0, nat = 4, ntyp = 3
/
ATOMIC_SPECIES
Sn 118.71 Sn.upf
Tl 204.38 Tl.upf
Eu 151.96 Eu.upf
ATOMIC_POSITIONS angstrom
Sn -2.015 -1.907 0.594
Tl 0.366 0.118 1.620
Tl 1.252 0.403 5.544
Eu -1.206 -1.647 4.176
CELL_PARAMETERS angstrom
-3.913 0.184 0.870
-0.118 -3.999 0.317
1.618 0.521 7.164
! excess energy over the best structure of this formula in the dataset = 122.2 meV/atom
! density = 9.52 g/cm3
! space-group type = P4/mmm, No. 123
! M_tot = 7.33 μB/cell